# 1
Density functional theory data (GGA-PBE) for a relaxed structure of Cs5Rb2Ge4.

Unit cell a=9.096 b=9.096 c=10.552 alpha=111.76 beta=111.76 gamma=52.69
Sites, in units of the cell vectors:
Cs: 0.000 0.000 0.000
Cs: 0.154 0.645 0.586
Cs: 0.355 0.846 0.414
Cs: 0.645 0.154 0.586
Cs: 0.846 0.355 0.414
Rb: 0.257 0.257 0.896
Rb: 0.743 0.743 0.104
Ge: 0.240 0.240 0.254
Ge: 0.387 0.387 0.270
Ge: 0.613 0.613 0.730
Ge: 0.760 0.760 0.746

M_tot in μB per atom: 0.050
Uncorrected energy in eV/cell: -24.4
Space group: No. 12

=====

# 2
Density functional theory data (GGA-PBE) for a relaxed structure of CsRbGe12.

Unit cell a=6.624 b=6.624 c=12.092 alpha=90.00 beta=90.00 gamma=90.00
Sites, in units of the cell vectors:
Cs: 0.000 0.000 0.000
Rb: 0.000 0.000 0.500
Ge: 0.192 0.500 0.251
Ge: 0.192 0.500 0.749
Ge: 0.500 0.192 0.251
Ge: 0.500 0.192 0.749
Ge: 0.500 0.500 0.107
Ge: 0.500 0.500 0.394
Ge: 0.500 0.500 0.606
Ge: 0.500 0.500 0.893
Ge: 0.500 0.808 0.251
Ge: 0.500 0.808 0.749
Ge: 0.808 0.500 0.251
Ge: 0.808 0.500 0.749

M_tot in μB per atom: 0.000
Uncorrected energy in eV/cell: -52.9
Space group: No. 123

=====

# 3
Density functional theory data (GGA-PBE) for a relaxed structure of CsRbGe4.

Unit cell a=6.508 b=6.508 c=6.508 alpha=60.00 beta=60.00 gamma=60.00
Sites, in units of the cell vectors:
Cs: 0.000 0.000 0.000
Rb: 0.750 0.750 0.750
Ge: 0.397 0.397 0.397
Ge: 0.397 0.397 0.809
Ge: 0.397 0.809 0.397
Ge: 0.809 0.397 0.397

M_tot in μB per atom: 0.021
Uncorrected energy in eV/cell: -19.5
Space group: No. 216

=====

# 4
Density functional theory data (GGA-PBE) for a relaxed structure of CsRbGe3.

Unit cell a=5.990 b=5.990 c=5.990 alpha=90.00 beta=90.00 gamma=90.00
Sites, in units of the cell vectors:
Cs: 0.000 0.000 0.000
Rb: 0.500 0.500 0.500
Ge: 0.000 0.000 0.500
Ge: 0.000 0.500 0.000
Ge: 0.500 0.000 0.000

M_tot in μB per atom: 0.000
Uncorrected energy in eV/cell: -9.1
Space group: No. 221
Excess energy over the best structure of this formula in the dataset in eV/atom: 0.138

=====

# 5
Density functional theory data (GGA-PBE) for a relaxed structure of CsRbGe2.

Unit cell a=8.462 b=8.462 c=8.462 alpha=90.00 beta=90.00 gamma=90.00
Sites, in units of the cell vectors:
Cs: 0.000 0.000 0.000
Cs: 0.000 0.500 0.500
Cs: 0.500 0.000 0.500
Cs: 0.500 0.500 0.000
Rb: 0.000 0.000 0.500
Rb: 0.000 0.500 0.000
Rb: 0.500 0.000 0.000
Rb: 0.500 0.500 0.500
Ge: 0.250 0.250 0.250
Ge: 0.250 0.250 0.750
Ge: 0.250 0.750 0.250
Ge: 0.250 0.750 0.750
Ge: 0.750 0.250 0.250
Ge: 0.750 0.250 0.750
Ge: 0.750 0.750 0.250
Ge: 0.750 0.750 0.750

M_tot in μB per atom: 0.000
Uncorrected energy in eV/cell: -35.8
Space group: No. 225
Excess energy over the best structure of this formula in the dataset in eV/atom: 0.617

=====

# 6
Density functional theory data (GGA-PBE) for a relaxed structure of Cs2Rb2Ge.

Unit cell a=9.437 b=9.437 c=7.663 alpha=90.00 beta=90.00 gamma=90.00
Sites, in units of the cell vectors:
Cs: 0.201 0.299 0.000
Cs: 0.299 0.799 0.000
Cs: 0.701 0.201 0.000
Cs: 0.799 0.701 0.000
Rb: 0.162 0.662 0.500
Rb: 0.338 0.162 0.500
Rb: 0.662 0.838 0.500
Rb: 0.838 0.338 0.500
Ge: 0.000 0.000 0.500
Ge: 0.500 0.500 0.500

M_tot in μB per atom: 0.277
Uncorrected energy in eV/cell: -14.4
Space group: No. 127

=====

# 7
Density functional theory data (GGA-PBE) for a relaxed structure of CsRbGe2.

Unit cell a=10.240 b=10.240 c=6.177 alpha=90.00 beta=90.00 gamma=90.00
Sites, in units of the cell vectors:
Cs: 0.000 0.000 0.000
Cs: 0.000 0.500 0.250
Cs: 0.500 0.000 0.750
Cs: 0.500 0.500 0.500
Rb: 0.000 0.000 0.500
Rb: 0.000 0.500 0.750
Rb: 0.500 0.000 0.250
Rb: 0.500 0.500 0.000
Ge: 0.246 0.750 0.625
Ge: 0.250 0.246 0.375
Ge: 0.250 0.254 0.875
Ge: 0.254 0.750 0.125
Ge: 0.746 0.250 0.125
Ge: 0.750 0.746 0.875
Ge: 0.750 0.754 0.375
Ge: 0.754 0.250 0.625

M_tot in μB per atom: 0.000
Uncorrected energy in eV/cell: -35.5
Space group: No. 122
Excess energy over the best structure of this formula in the dataset in eV/atom: 0.638

=====

# 8
Density functional theory data (GGA-PBE) for a relaxed structure of Cs4RbGe4.

Unit cell a=11.265 b=11.265 c=7.464 alpha=90.00 beta=90.00 gamma=90.00
Sites, in units of the cell vectors:
Cs: 0.075 0.659 0.078
Cs: 0.159 0.925 0.578
Cs: 0.341 0.575 0.578
Cs: 0.425 0.841 0.078
Cs: 0.575 0.159 0.922
Cs: 0.659 0.425 0.422
Cs: 0.841 0.075 0.422
Cs: 0.925 0.341 0.922
Rb: 0.250 0.250 0.250
Rb: 0.750 0.750 0.750
Ge: 0.009 0.590 0.570
Ge: 0.090 0.991 0.070
Ge: 0.410 0.509 0.070
Ge: 0.491 0.910 0.570
Ge: 0.509 0.090 0.430
Ge: 0.590 0.491 0.930
Ge: 0.910 0.009 0.930
Ge: 0.991 0.410 0.430

M_tot in μB per atom: 0.000
Uncorrected energy in eV/cell: -46.2
Space group: No. 86